(1)
Here is a relaxed structure of Sm2ZnAg from Alexandria. Energies are from PBE-GGA.

It has space group Fm-3m (No. 225), with a = 7.362 Å, b = 7.362 Å, c = 7.362 Å, α = 90.00°, β = 90.00° and γ = 90.00°. The inequivalent atoms are Sm at (0.250, 0.250, 0.250), Zn at (0.000, 0.000, 0.000) and Ag at (0.000, 0.000, 0.500).

The value obtained for the excess energy over the best structure of this formula in the dataset is 16 meV per atom. The energy is -3.68 eV/atom. Its density of states at the Fermi level is 13.38 states/eV/cell. As for the total magnetic moment: 0.00 Bohr magnetons per cell. The calculation puts the formation energy from the elements at -0.290 eV per atom.

(2)
Here is a relaxed structure of Sm2ZnAg2 from Alexandria. Energies are from PBE-GGA.

It has space group C2/m (No. 12), with a = 10.596 Å, b = 4.434 Å, c = 11.159 Å, α = 90.00°, β = 113.81° and γ = 90.00°. The inequivalent atoms are Sm at (0.011, 0.000, 0.339), Sm at (0.190, 0.000, 0.112), Zn at (0.216, 0.500, 0.335), Ag at (0.023, 0.500, 0.884) and Ag at (0.150, 0.500, 0.561).

The value obtained for the excess energy over the best structure of this formula in the dataset is 33 meV per atom. The energy is -3.55 eV/atom. Its density of states at the Fermi level is 17.96 states/eV/cell. As for the total magnetic moment: 0.00 Bohr magnetons per cell. The calculation puts the formation energy from the elements at -0.268 eV per atom.

(3)
Here is a relaxed structure of SmZnAg4 from Alexandria. Energies are from PBE-GGA.

It has space group F-43m (No. 216), with a = 7.866 Å, b = 7.866 Å, c = 7.866 Å, α = 90.00°, β = 90.00° and γ = 90.00°. The inequivalent atoms are Sm at (0.000, 0.000, 0.000), Zn at (0.250, 0.250, 0.250) and Ag at (0.124, 0.124, 0.624).

The value obtained for the excess energy over the best structure of this formula in the dataset is 6 meV per atom. The energy is -3.01 eV/atom. Its density of states at the Fermi level is 28.33 states/eV/cell. As for the total magnetic moment: 0.00 Bohr magnetons per cell. The calculation puts the formation energy from the elements at -0.114 eV per atom.

(4)
Here is a relaxed structure of SmZn2Ag6 from Alexandria. Energies are from PBE-GGA.

It has space group Fd-3m (No. 227, origin choice 2), with a = 11.877 Å, b = 11.877 Å, c = 11.877 Å, α = 90.00°, β = 90.00° and γ = 90.00°. The inequivalent atoms are Sm at (0.125, 0.125, 0.125), Zn at (0.000, 0.000, 0.500) and Ag at (0.125, 0.125, 0.375).

The energy is -2.48 eV/atom. Its density of states at the Fermi level is 32.32 states/eV/cell. As for the total magnetic moment: 0.00 Bohr magnetons per cell. The calculation puts the formation energy from the elements at 0.232 eV per atom.

(5)
Here is a relaxed structure of Sm6ZnAg3 from Alexandria. Energies are from PBE-GGA.

It has space group P2_1/m (No. 11), with a = 9.159 Å, b = 5.142 Å, c = 11.944 Å, α = 90.00°, β = 105.17° and γ = 90.00°. The inequivalent atoms are Sm at (0.012, 0.250, 0.109), Sm at (0.162, 0.250, 0.703), Sm at (0.230, 0.750, 0.512), Sm at (0.364, 0.750, 0.117), Sm at (0.371, 0.250, 0.351), Sm at (0.380, 0.750, 0.842), Zn at (0.448, 0.250, 0.626), Ag at (0.039, 0.250, 0.373), Ag at (0.146, 0.750, 0.254) and Ag at (0.277, 0.250, 0.970).

The energy is -3.99 eV/atom. Its density of states at the Fermi level is 18.72 states/eV/cell. As for the total magnetic moment: 0.00 Bohr magnetons per cell. The calculation puts the formation energy from the elements at -0.174 eV per atom.

(6)
Here is a relaxed structure of Sm3Zn3Ag2 from Alexandria. Energies are from PBE-GGA.

It has space group Cmcm (No. 63), with a = 4.653 Å, b = 10.638 Å, c = 14.824 Å, α = 90.00°, β = 90.00° and γ = 90.00°. The inequivalent atoms are Sm at (0.000, 0.096, 0.106), Sm at (0.000, 0.373, 0.250), Zn at (0.000, 0.344, 0.750), Zn at (0.000, 0.395, 0.041) and Ag at (0.000, 0.201, 0.599).

The energy is -3.26 eV/atom. Its density of states at the Fermi level is 30.46 states/eV/cell. As for the total magnetic moment: 0.00 Bohr magnetons per cell. The calculation puts the formation energy from the elements at -0.300 eV per atom.

(7)
Here is a relaxed structure of Sm3ZnAg2 from Alexandria. Energies are from PBE-GGA.

It has space group P-3m1 (No. 164), with a = 5.2158 Å, b = 5.2158 Å, c = 12.8125 Å, α = 90.00°, β = 90.00° and γ = 120.00°. The inequivalent atoms are Sm at (0.0000, 0.0000, 0.2478), Sm at (0.3333, 0.6667, 0.4150), Sm at (0.3333, 0.6667, 0.9177), Zn at (0.3333, 0.6667, 0.1679), Ag at (0.0000, 0.0000, 0.0000), Ag at (0.0000, 0.0000, 0.5000) and Ag at (0.3333, 0.6667, 0.6713).

The energy is -3.81 eV/atom. Its density of states at the Fermi level is 10.20 states/eV/cell. As for the total magnetic moment: 0.00 Bohr magnetons per cell. The calculation puts the formation energy from the elements at -0.288 eV per atom.

(8)
Here is a relaxed structure of SmZrZnAg from Alexandria. Energies are from PBE-GGA.

It has space group F-43m (No. 216), with a = 7.091 Å, b = 7.091 Å, c = 7.091 Å, α = 90.00°, β = 90.00° and γ = 90.00°. The inequivalent atoms are Sm at (0.000, 0.000, 0.000), Zr at (0.000, 0.000, 0.500), Zn at (0.250, 0.250, 0.250) and Ag at (0.250, 0.250, 0.750).

The energy is -4.46 eV/atom. Its density of states at the Fermi level is 13.45 states/eV/cell. As for the total magnetic moment: 5.00 Bohr magnetons per cell. The calculation puts the formation energy from the elements at -0.114 eV per atom.

Question: Which value of formation energy from the elements does entry 7 give?
Answer: -0.288 eV per atom